Compound: SrYSeBr2
Source: Alexandria via LeMat-Bulk
Functional: PBE
Structure: relaxed

Calculated values
raw total energy	-3.91	eV/atom
excess energy over the best structure of this formula in the dataset	548.3	meV/atom
formation energy without anion corrections	-0.911	eV/atom
crystal system	tetragonal
DOS at the Fermi energy	3.59	states/eV/cell
theoretical density	3.7	g cm⁻³

```
SrYSeBr2
1.0
5.6123 0.0000 0.0000
0.0000 5.6123 0.0000
0.0000 0.0000 5.9795
Sr Y Se Br
1 1 1 2
Cartesian
0.0000 0.0000 0.0000
2.8062 2.8062 2.9897
0.0000 0.0000 2.9897
0.0000 2.8062 0.0000
2.8062 0.0000 0.0000
```